A plane-wave DFT calculation with PBE was carried out for a geometry-optimized CrReNi structure.

Summary:
Energy above the most stable polymorph in this dataset   10.11 kJ per mole of atoms
Density   12.9 g/cm3
Formation energy   0.166 eV per atom
Magnetic moment   0.002 μB per formula unit

POSCAR file:
```
CrReNi
1.0
-4.4484 1.6238 -4.1162
-5.7194 1.1285 -1.9232
0.1132 2.5773 -0.1205
Cr Re Ni
1 1 1
Direct
0.9948 0.9948 0.0052 Cr
0.6663 0.6663 0.3337 Re
0.3389 0.3389 0.6611 Ni
```



A plane-wave DFT calculation with PBE was carried out for a geometry-optimized Pm4Pr5Hg4 structure.

Summary:
Density   8.4 g/cm3
Formation energy   -0.302 eV per atom
Magnetic moment   0.000 μB per formula unit

POSCAR file:
```
Pm4Pr5Hg4
1.0
5.1339 0.0000 1.3053
2.5669 8.8018 0.6527
0.3981 0.0000 9.1831
Pr Hg Pm
5 4 4
Direct
0.3144 0.0672 0.3041 Pr
0.6856 0.9328 0.6959 Pr
0.3816 0.3041 0.9328 Pr
0.6184 0.6959 0.0672 Pr
0.0000 0.0000 0.0000 Pr
0.0966 0.1414 0.6653 Hg
0.9034 0.8586 0.3347 Hg
0.2380 0.6653 0.8586 Hg
0.7620 0.3347 0.1414 Hg
0.6080 0.2954 0.4885 Pm
0.9035 0.4885 0.7046 Pm
0.3920 0.7046 0.5115 Pm
0.0965 0.5115 0.2954 Pm
```



- Look up the magnetic moment of the first one.
  0.002 μB per formula unit



- What is the formula in the first record?
  CrReNi



Copy entry 2 word for word.
A plane-wave DFT calculation with PBE was carried out for a geometry-optimized Pm4Pr5Hg4 structure.

Summary:
Density   8.4 g/cm3
Formation energy   -0.302 eV per atom
Magnetic moment   0.000 μB per formula unit

POSCAR file:
```
Pm4Pr5Hg4
1.0
5.1339 0.0000 1.3053
2.5669 8.8018 0.6527
0.3981 0.0000 9.1831
Pr Hg Pm
5 4 4
Direct
0.3144 0.0672 0.3041 Pr
0.6856 0.9328 0.6959 Pr
0.3816 0.3041 0.9328 Pr
0.6184 0.6959 0.0672 Pr
0.0000 0.0000 0.0000 Pr
0.0966 0.1414 0.6653 Hg
0.9034 0.8586 0.3347 Hg
0.2380 0.6653 0.8586 Hg
0.7620 0.3347 0.1414 Hg
0.6080 0.2954 0.4885 Pm
0.9035 0.4885 0.7046 Pm
0.3920 0.7046 0.5115 Pm
0.0965 0.5115 0.2954 Pm
```



Please write out number 2 again, unchanged.
A plane-wave DFT calculation with PBE was carried out for a geometry-optimized Pm4Pr5Hg4 structure.

Summary:
Density   8.4 g/cm3
Formation energy   -0.302 eV per atom
Magnetic moment   0.000 μB per formula unit

POSCAR file:
```
Pm4Pr5Hg4
1.0
5.1339 0.0000 1.3053
2.5669 8.8018 0.6527
0.3981 0.0000 9.1831
Pr Hg Pm
5 4 4
Direct
0.3144 0.0672 0.3041 Pr
0.6856 0.9328 0.6959 Pr
0.3816 0.3041 0.9328 Pr
0.6184 0.6959 0.0672 Pr
0.0000 0.0000 0.0000 Pr
0.0966 0.1414 0.6653 Hg
0.9034 0.8586 0.3347 Hg
0.2380 0.6653 0.8586 Hg
0.7620 0.3347 0.1414 Hg
0.6080 0.2954 0.4885 Pm
0.9035 0.4885 0.7046 Pm
0.3920 0.7046 0.5115 Pm
0.0965 0.5115 0.2954 Pm
```